1.
Here is SrBe3Au10 after structural relaxation from Alexandria. Energies are from PBE.

**Fermi-level density of states**: 2.8 states/eV/f.u.
**Magnetization**: 0.000 μB per cell
**Total DFT energy (no corrections)**: -393.417 eV/cell

a b c (Å): 12.5379 12.5379 12.5379
angles (deg): 90.00 90.00 90.00
Last column: nearest neighbours and their distance in Å.
Space group Fm-3m (No. 225)
Unique sites:
Sr 0.2500 0.2500 0.2500 [8 per cell]  4 Au 3.00
Be 0.0000 0.0000 0.2355 [24 per cell]  8 Au 2.43-2.52
Au 0.0000 0.1691 0.3309 [48 per cell]  2 Be 2.43
Au 0.1118 0.1118 0.1118 [32 per cell]  3 Be 2.52, 3 Au 2.80


2.
Here is SrBe4Au12 after structural relaxation from Alexandria. Energies are from PBE.

**Fermi-level density of states**: 3.4 states/eV/f.u.
**Magnetization**: 0.000 μB per cell
**Total DFT energy (no corrections)**: -114.917 eV/cell

a b c (Å): 8.5147 8.5147 8.5147
angles (deg): 90.00 90.00 90.00
Last column: nearest neighbours and their distance in Å.
Space group Im-3 (No. 204)
Unique sites:
Sr 0.0000 0.0000 0.0000 [2 per cell]  12 Au 3.22
Be 0.2500 0.2500 0.2500 [8 per cell]  6 Au 2.34
Au 0.0000 0.3354 0.1745 [24 per cell]  2 Be 2.34


3.
Here is Sr2BeAu after structural relaxation from Alexandria. Energies are from PBE.

**Fermi-level density of states**: 2.5 states/eV/f.u.
**Magnetization**: 0.000 μB per cell
**Total DFT energy (no corrections)**: -10.450 eV/cell

a b c (Å): 3.5619 3.5619 8.8327
angles (deg): 90.00 90.00 90.00
Last column: nearest neighbours and their distance in Å.
Space group P4mm (No. 99)
Unique sites:
Sr 0.0000 0.0000 0.0000 [1 per cell]  1 Au 3.05, 4 Be 3.36
Sr 0.5000 0.5000 0.4062 [1 per cell]  1 Be 3.02, 4 Au 3.34
Be 0.5000 0.5000 0.7481 [1 per cell]  4 Au 2.65
Au 0.0000 0.0000 0.6543 [1 per cell]  4 Be 2.65


4.
Here is SrBe2Au9 after structural relaxation from Alexandria. Energies are from PBE.

**Fermi-level density of states**: 4.3 states/eV/f.u.
**Magnetization**: 0.000 μB per cell
**Total DFT energy (no corrections)**: -164.410 eV/cell

a b c (Å): 11.2688 11.2688 7.0164
angles (deg): 90.00 90.00 90.00
Last column: nearest neighbours and their distance in Å.
Space group I4_1/amd (No. 141, origin choice 2)
Unique sites:
Sr 0.0000 0.2500 0.3750 [4 per cell]  18 Au 3.44-3.67, 4 Be 3.85
Be 0.0000 0.0000 0.0000 [8 per cell]  8 Au 2.61-2.72
Au 0.0000 0.2500 0.8750 [4 per cell]  8 Au 2.93, 4 Be 2.95
Au 0.1200 0.0496 0.6912 [32 per cell]  2 Be 2.61-2.72, 5 Au 2.70-2.91


5.
Here is SrBe2Au after structural relaxation from Alexandria. Energies are from PBE.

**Fermi-level density of states**: 2.5 states/eV/f.u.
**Energy above the lowest structure with this stoichiometry**: 421 meV/atom
**Magnetization**: 0.000 μB per cell
**Total DFT energy (no corrections)**: -11.586 eV/cell

a b c (Å): 3.1252 3.1252 7.2212
angles (deg): 90.00 90.00 90.00
Last column: nearest neighbours and their distance in Å.
Space group P4mm (No. 99)
Unique sites:
Sr 0.0000 0.0000 0.0000 [1 per cell]  4 Sr 3.13, 5 Be 3.21-3.50, 4 Au 3.34
Be 0.0000 0.0000 0.5153 [1 per cell]  4 Be 2.50, 4 Au 2.52
Be 0.5000 0.5000 0.6784 [1 per cell]  1 Au 2.40, 4 Be 2.50
Au 0.5000 0.5000 0.3461 [1 per cell]  5 Be 2.40-2.52


6.
Here is SrBeAu3 after structural relaxation from Alexandria. Energies are from PBE.

**Fermi-level density of states**: 1.6 states/eV/f.u.
**Energy above the lowest structure with this stoichiometry**: 0 meV/atom
**Magnetization**: 0.000 μB per cell
**Total DFT energy (no corrections)**: -35.339 eV/cell

a b c (Å): 6.4732 6.4732 5.5416
angles (deg): 90.00 90.00 120.00
Last column: nearest neighbours and their distance in Å.
Space group P6_3/mmc (No. 194)
Unique sites:
Sr 0.3333 0.6667 0.2500 [2 per cell]  12 Au 3.24-3.27
Be 0.0000 0.0000 0.0000 [2 per cell]  6 Au 2.44
Au 0.1790 0.3580 0.7500 [6 per cell]  2 Be 2.44


- Which formula does entry 5 have?
  SrBe2Au